VASP calculation (PBE-GGA) on Li3Ga3Sn after structural relaxation.

The polymorph energy (0 for the lowest one) is 0.637 eV per atom. The value obtained for the calculated volume is 23.8 Å³/atom. Its energy relative to the elements is 0.38 eV/atom.

Lattice parameters (Å, degrees): 6.9309 6.9309 6.9309 90.00 90.00 90.00
Positions (direct):
Sn  0.5000  0.5000  0.5000
Sn  0.0000  0.0000  0.0000
Ga  0.2500  0.0000  0.5000
Ga  0.0000  0.5000  0.2500
Ga  0.5000  0.7500  0.0000
Ga  0.7500  0.0000  0.5000
Ga  0.0000  0.5000  0.7500
Ga  0.5000  0.2500  0.0000
Li  0.0000  0.2500  0.5000
Li  0.0000  0.7500  0.5000
Li  0.5000  0.0000  0.7500
Li  0.7500  0.5000  0.0000
Li  0.5000  0.0000  0.2500
Li  0.2500  0.5000  0.0000